1.
A relaxed MgTaNi2 crystal. Source: Alexandria, functional GGA-PBE.

Lattice parameters (Å, degrees): 8.908 8.908 8.908 18.10 18.10 18.10
Sites, in units of the cell vectors:
Ni: 0.996 0.996 0.996
Ni: 0.255 0.255 0.255
Mg: 0.741 0.741 0.741
Ta: 0.509 0.509 0.509

Values from the calculation:
Formation energy   0.163 eV/atom
D(E_F)   3.7 states/eV/cell
Uncorrected energy   -6.089 eV per atom


2.
A relaxed MgTaNi2 crystal. Source: Alexandria, functional GGA-PBE.

Lattice parameters (Å, degrees): 6.772 6.772 5.529 52.23 52.23 90.00
Sites, in units of the cell vectors:
Ta: 0.000 0.000 0.000
Ta: 0.750 0.250 0.500
Ni: 0.641 0.125 0.250
Ni: 0.375 0.359 0.750
Ni: 0.109 0.625 0.250
Ni: 0.875 0.891 0.750
Mg: 0.500 0.500 0.000
Mg: 0.250 0.750 0.500

Values from the calculation:
Formation energy   0.404 eV/atom
D(E_F)   16.7 states/eV/cell
Uncorrected energy   -5.849 eV per atom


3.
A relaxed MgTaNi2 crystal. Source: Alexandria, functional GGA-PBE.

Lattice parameters (Å, degrees): 4.857 4.857 4.578 77.72 77.72 32.88
Sites, in units of the cell vectors:
Mg: 0.265 0.265 0.192
Ta: 0.486 0.486 0.557
Ni: 0.735 0.735 0.715
Ni: 0.014 0.014 0.036

Values from the calculation:
Formation energy   -0.113 eV/atom
D(E_F)   1.8 states/eV/cell
Uncorrected energy   -6.365 eV per atom


4.
A relaxed Mg2TaNi crystal. Source: Alexandria, functional GGA-PBE.

Lattice parameters (Å, degrees): 5.713 5.713 4.750 65.37 65.37 28.55
Sites, in units of the cell vectors:
Mg: 0.466 0.466 0.534
Mg: 0.034 0.034 0.966
Ta: 0.250 0.250 0.250
Ni: 0.750 0.750 0.750

Values from the calculation:
Formation energy   0.151 eV/atom
D(E_F)   2.6 states/eV/cell
Uncorrected energy   -5.055 eV per atom


5.
A relaxed Mg2TaNi crystal. Source: Alexandria, functional GGA-PBE.

Lattice parameters (Å, degrees): 2.967 2.967 8.001 90.00 90.00 89.99
Sites, in units of the cell vectors:
Ta: 0.500 0.500 0.704
Mg: 0.000 0.000 0.986
Mg: 0.500 0.500 0.299
Ni: 0.000 0.000 0.511

Values from the calculation:
Formation energy   -0.006 eV/atom
D(E_F)   4.1 states/eV/cell
Uncorrected energy   -5.212 eV per atom


6.
A relaxed MgTaNi2 crystal. Source: Alexandria, functional GGA-PBE.

Lattice parameters (Å, degrees): 3.117 3.115 6.234 90.00 90.00 90.00
Sites, in units of the cell vectors:
Ni: 0.000 0.000 0.464
Ni: 0.000 0.000 0.036
Mg: 0.500 0.500 0.750
Ta: 0.500 0.500 0.250

Values from the calculation:
Formation energy   -0.207 eV/atom
D(E_F)   2.3 states/eV/cell
Uncorrected energy   -6.459 eV per atom


7.
A relaxed MgTaNi2 crystal. Source: Alexandria, functional GGA-PBE.

Lattice parameters (Å, degrees): 4.344 4.344 5.350 83.32 83.32 36.53
Sites, in units of the cell vectors:
Ta: 0.750 0.750 0.750
Ni: 0.502 0.502 0.519
Ni: 0.998 0.998 0.981
Mg: 0.250 0.250 0.250

Values from the calculation:
Formation energy   0.076 eV/atom
D(E_F)   3.6 states/eV/cell
Uncorrected energy   -6.177 eV per atom


8.
A relaxed Mg2TaNi crystal. Source: Alexandria, functional GGA-PBE.

Lattice parameters (Å, degrees): 4.562 4.562 4.562 60.00 60.00 60.00
Sites, in units of the cell vectors:
Mg: 0.750 0.750 0.750
Mg: 0.250 0.250 0.250
Ta: 0.500 0.500 0.500
Ni: 0.000 0.000 0.000

Values from the calculation:
Formation energy   0.529 eV/atom
D(E_F)   2.2 states/eV/cell
Uncorrected energy   -4.677 eV per atom


9.
A relaxed MgTaNi2 crystal. Source: Alexandria, functional GGA-PBE.

Lattice parameters (Å, degrees): 4.294 4.294 4.294 60.00 60.00 60.00
Sites, in units of the cell vectors:
Mg: 0.500 0.500 0.500
Ta: 0.750 0.750 0.750
Ni: 0.000 0.000 0.000
Ni: 0.250 0.250 0.250

Values from the calculation:
Formation energy   0.177 eV/atom
D(E_F)   6.3 states/eV/cell
Uncorrected energy   -6.075 eV per atom


10.
A relaxed Mg2TaNi crystal. Source: Alexandria, functional GGA-PBE.

Lattice parameters (Å, degrees): 3.272 4.389 4.639 90.00 90.00 90.00
Sites, in units of the cell vectors:
Mg: 0.500 0.500 0.000
Mg: 0.000 0.000 0.000
Ta: 0.000 0.500 0.500
Ni: 0.500 0.000 0.500

Values from the calculation:
Formation energy   0.235 eV/atom
D(E_F)   3.2 states/eV/cell
Uncorrected energy   -4.970 eV per atom


11.
A relaxed Mg2TaNi crystal. Source: Alexandria, functional GGA-PBE.

Lattice parameters (Å, degrees): 4.863 4.863 5.342 79.13 79.13 33.71
Sites, in units of the cell vectors:
Ta: 0.234 0.234 0.293
Mg: 0.004 0.004 0.998
Mg: 0.772 0.772 0.758
Ni: 0.490 0.490 0.451

Values from the calculation:
Formation energy   0.186 eV/atom
D(E_F)   1.8 states/eV/cell
Uncorrected energy   -5.020 eV per atom


12.
A relaxed Mg2TaNi crystal. Source: Alexandria, functional GGA-PBE.

Lattice parameters (Å, degrees): 7.422 7.422 5.851 50.64 50.64 90.00
Sites, in units of the cell vectors:
Mg: 0.176 0.625 0.250
Mg: 0.574 0.125 0.250
Mg: 0.375 0.426 0.750
Mg: 0.875 0.824 0.750
Ta: 0.750 0.250 0.500
Ta: 0.000 0.000 0.000
Ni: 0.250 0.750 0.500
Ni: 0.500 0.500 0.000

Values from the calculation:
Formation energy   0.558 eV/atom
D(E_F)   6.7 states/eV/cell
Uncorrected energy   -4.648 eV per atom


- Among the records above, which one has the lowest formation energy?
  number 6


Repeat the ninth record exactly.
A relaxed MgTaNi2 crystal. Source: Alexandria, functional GGA-PBE.

Lattice parameters (Å, degrees): 4.294 4.294 4.294 60.00 60.00 60.00
Sites, in units of the cell vectors:
Mg: 0.500 0.500 0.500
Ta: 0.750 0.750 0.750
Ni: 0.000 0.000 0.000
Ni: 0.250 0.250 0.250

Values from the calculation:
Formation energy   0.177 eV/atom
D(E_F)   6.3 states/eV/cell
Uncorrected energy   -6.075 eV per atom